1.
Here is a relaxed PmHoTmZn crystal from Alexandria via LeMat-Bulk. Energies are from PBE-GGA.

```
data_PmHoTmZn
_cell_length_a 3.5539
_cell_length_b 3.5539
_cell_length_c 8.6757
_cell_angle_alpha 90.00
_cell_angle_beta 90.00
_cell_angle_gamma 90.00
_symmetry_space_group_name_H-M 'P 4 m m'
_symmetry_Int_Tables_number 99
_symmetry_space_group_name_Hall 'P 4 -2'
loop_
_atom_site_label
_atom_site_fract_x
_atom_site_fract_y
_atom_site_fract_z
_atom_site_occupancy
Pm1 0.0000 0.0000 0.0000 1
Ho1 0.5000 0.5000 0.7007 1
Tm1 0.5000 0.5000 0.2965 1
Zn1 0.0000 0.0000 0.4950 1
```

- E above lowest polymorph (eV/atom) = 0.000


2.
Here is a relaxed PmHoTmZn crystal from Alexandria via LeMat-Bulk. Energies are from PBE-GGA.

```
data_PmHoTmZn
_cell_length_a 7.5577
_cell_length_b 7.5577
_cell_length_c 7.5577
_cell_angle_alpha 90.00
_cell_angle_beta 90.00
_cell_angle_gamma 90.00
_symmetry_space_group_name_H-M 'F -4 3 m'
_symmetry_Int_Tables_number 216
_symmetry_space_group_name_Hall 'F -4 2 3'
loop_
_atom_site_label
_atom_site_fract_x
_atom_site_fract_y
_atom_site_fract_z
_atom_site_occupancy
Pm1 0.0000 0.0000 0.0000 1
Ho1 0.0000 0.0000 0.5000 1
Tm1 0.2500 0.2500 0.2500 1
Zn1 0.2500 0.2500 0.7500 1
```

- E above lowest polymorph (eV/atom) = 0.196


3.
Here is a relaxed Pm3Ho2Tm6Zr crystal from Alexandria via LeMat-Bulk. Energies are from PBE-GGA.

```
data_Pm3Ho2Tm6Zr
_cell_length_a 6.0844
_cell_length_b 10.5277
_cell_length_c 11.5577
_cell_angle_alpha 90.00
_cell_angle_beta 100.08
_cell_angle_gamma 90.00
_symmetry_space_group_name_H-M 'C 1 2/m 1'
_symmetry_Int_Tables_number 12
_symmetry_space_group_name_Hall '-C 2y'
loop_
_atom_site_label
_atom_site_fract_x
_atom_site_fract_y
_atom_site_fract_z
_atom_site_occupancy
Pm1 0.0000 0.0000 0.0000 1
Pm2 0.0000 0.3340 0.0000 1
Ho1 0.0000 0.1668 0.5000 1
Tm1 0.2434 0.3368 0.7420 1
Tm2 0.2460 0.5000 0.2584 1
Zr1 0.0000 0.5000 0.5000 1
```

- uncorrected energy (eV per atom) = -4.85


4.
Here is a relaxed PmHoTmZr crystal from Alexandria via LeMat-Bulk. Energies are from PBE-GGA.

```
data_PmHoTmZr
_cell_length_a 7.7637
_cell_length_b 7.7637
_cell_length_c 7.7637
_cell_angle_alpha 90.00
_cell_angle_beta 90.00
_cell_angle_gamma 90.00
_symmetry_space_group_name_H-M 'F -4 3 m'
_symmetry_Int_Tables_number 216
_symmetry_space_group_name_Hall 'F -4 2 3'
loop_
_atom_site_label
_atom_site_fract_x
_atom_site_fract_y
_atom_site_fract_z
_atom_site_occupancy
Pm1 0.0000 0.0000 0.0000 1
Ho1 0.2500 0.2500 0.2500 1
Tm1 0.2500 0.2500 0.7500 1
Zr1 0.0000 0.0000 0.5000 1
```

- uncorrected energy (eV per atom) = -5.37


5.
Here is a relaxed PmHoV crystal from Alexandria via LeMat-Bulk. Energies are from PBE-GGA.

```
data_PmHoV
_cell_length_a 4.7946
_cell_length_b 4.7896
_cell_length_c 13.3558
_cell_angle_alpha 90.00
_cell_angle_beta 90.03
_cell_angle_gamma 90.00
_symmetry_space_group_name_H-M 'C 1 2/m 1'
_symmetry_Int_Tables_number 12
_symmetry_space_group_name_Hall '-C 2y'
loop_
_atom_site_label
_atom_site_fract_x
_atom_site_fract_y
_atom_site_fract_z
_atom_site_occupancy
Pm1 0.2481 0.0000 0.1962 1
Ho1 0.2494 0.5000 0.4071 1
V1 0.2505 0.0000 0.9624 1
```

- uncorrected energy (eV per atom) = -5.91


6.
Here is a relaxed PmHoV4 crystal from Alexandria via LeMat-Bulk. Energies are from PBE-GGA.

```
data_PmHoV4
_cell_length_a 7.6321
_cell_length_b 7.6321
_cell_length_c 7.6321
_cell_angle_alpha 90.00
_cell_angle_beta 90.00
_cell_angle_gamma 90.00
_symmetry_space_group_name_H-M 'F -4 3 m'
_symmetry_Int_Tables_number 216
_symmetry_space_group_name_Hall 'F -4 2 3'
loop_
_atom_site_label
_atom_site_fract_x
_atom_site_fract_y
_atom_site_fract_z
_atom_site_occupancy
Pm1 0.0000 0.0000 0.0000 1
Ho1 0.2500 0.2500 0.7500 1
V1 0.1204 0.1204 0.3796 1
```

- uncorrected energy (eV per atom) = -7.25


7.
Here is a relaxed PmHo2V crystal from Alexandria via LeMat-Bulk. Energies are from PBE-GGA.

```
data_PmHo2V
_cell_length_a 3.3779
_cell_length_b 3.3779
_cell_length_c 34.4676
_cell_angle_alpha 90.00
_cell_angle_beta 90.00
_cell_angle_gamma 120.00
_symmetry_space_group_name_H-M 'R -3 m'
_symmetry_Int_Tables_number 166
_symmetry_space_group_name_Hall '-R 3 2"'
loop_
_atom_site_label
_atom_site_fract_x
_atom_site_fract_y
_atom_site_fract_z
_atom_site_occupancy
Pm1 0.0000 0.0000 0.0000 1
Ho1 0.0000 0.0000 0.4191 1
V1 0.0000 0.0000 0.5000 1
```

- uncorrected energy (eV per atom) = -5.14


8.
Here is a relaxed Pm3Y2Ho2 crystal from Alexandria via LeMat-Bulk. Energies are from PBE-GGA.

```
data_Pm3Y2Ho2
_cell_length_a 17.5706
_cell_length_b 3.5268
_cell_length_c 8.5733
_cell_angle_alpha 90.00
_cell_angle_beta 118.86
_cell_angle_gamma 90.00
_symmetry_space_group_name_H-M 'C 1 2/m 1'
_symmetry_Int_Tables_number 12
_symmetry_space_group_name_Hall '-C 2y'
loop_
_atom_site_label
_atom_site_fract_x
_atom_site_fract_y
_atom_site_fract_z
_atom_site_occupancy
Pm1 0.0000 0.0000 0.0000 1
Pm2 0.2125 0.0000 0.3009 1
Y1 0.1446 0.0000 0.8234 1
Ho1 0.0648 0.5000 0.4091 1
```

- E above lowest polymorph (eV/atom) = 0.089


9.
Here is a relaxed PmY2Ho crystal from Alexandria via LeMat-Bulk. Energies are from PBE-GGA.

```
data_PmY2Ho
_cell_length_a 4.0295
_cell_length_b 4.0295
_cell_length_c 8.1529
_cell_angle_alpha 90.00
_cell_angle_beta 90.00
_cell_angle_gamma 90.00
_symmetry_space_group_name_H-M 'P 4/m m m'
_symmetry_Int_Tables_number 123
_symmetry_space_group_name_Hall '-P 4 2'
loop_
_atom_site_label
_atom_site_fract_x
_atom_site_fract_y
_atom_site_fract_z
_atom_site_occupancy
Pm1 0.0000 0.0000 0.0000 1
Y1 0.5000 0.5000 0.2627 1
Ho1 0.0000 0.0000 0.5000 1
```

- E above lowest polymorph (eV/atom) = 0.109


10.
Here is a relaxed Pm7Y16Ho6 crystal from Alexandria via LeMat-Bulk. Energies are from PBE-GGA.

```
data_Pm7Y16Ho6
_cell_length_a 15.6811
_cell_length_b 15.6811
_cell_length_c 15.6811
_cell_angle_alpha 90.00
_cell_angle_beta 90.00
_cell_angle_gamma 90.00
_symmetry_space_group_name_H-M 'F m -3 m'
_symmetry_Int_Tables_number 225
_symmetry_space_group_name_Hall '-F 4 2 3'
loop_
_atom_site_label
_atom_site_fract_x
_atom_site_fract_y
_atom_site_fract_z
_atom_site_occupancy
Pm1 0.0000 0.0000 0.0000 1
Pm2 0.0000 0.2500 0.2500 1
Y1 0.1131 0.1131 0.3869 1
Y2 0.1497 0.1497 0.1497 1
Ho1 0.0000 0.0000 0.2239 1
```

- uncorrected energy (eV per atom) = -5.48


11.
Here is a relaxed Pm7Y4Ho crystal from Alexandria via LeMat-Bulk. Energies are from PBE-GGA.

```
data_Pm7Y4Ho
_cell_length_a 6.3195
_cell_length_b 7.2902
_cell_length_c 8.9899
_cell_angle_alpha 90.00
_cell_angle_beta 103.65
_cell_angle_gamma 90.04
_symmetry_space_group_name_H-M 'P -1'
_symmetry_Int_Tables_number 2
_symmetry_space_group_name_Hall '-P 1'
loop_
_atom_site_label
_atom_site_fract_x
_atom_site_fract_y
_atom_site_fract_z
_atom_site_occupancy
Pm1 0.0000 0.0000 0.0000 1
Pm2 0.2205 0.5002 0.6664 1
Pm3 0.2783 0.7492 0.3336 1
Pm4 0.4994 0.7513 0.0000 1
Y1 0.2210 0.9999 0.6658 1
Y2 0.2789 0.2493 0.3325 1
Ho1 0.0000 0.5000 0.0000 1
```

- E above lowest polymorph (eV/atom) = 0.000


12.
Here is a relaxed Pm4YHo15 crystal from Alexandria via LeMat-Bulk. Energies are from PBE-GGA.

```
data_Pm4YHo15
_cell_length_a 5.0286
_cell_length_b 5.0286
_cell_length_c 25.0760
_cell_angle_alpha 90.00
_cell_angle_beta 90.00
_cell_angle_gamma 90.00
_symmetry_space_group_name_H-M 'P 4/m m m'
_symmetry_Int_Tables_number 123
_symmetry_space_group_name_Hall '-P 4 2'
loop_
_atom_site_label
_atom_site_fract_x
_atom_site_fract_y
_atom_site_fract_z
_atom_site_occupancy
Pm1 0.0000 0.0000 0.1001 1
Pm2 0.0000 0.0000 0.3002 1
Y1 0.0000 0.0000 0.5000 1
Ho1 0.0000 0.5000 0.0000 1
Ho2 0.0000 0.5000 0.2002 1
Ho3 0.0000 0.5000 0.4005 1
Ho4 0.5000 0.5000 0.1000 1
Ho5 0.5000 0.5000 0.3005 1
Ho6 0.5000 0.5000 0.5000 1
```

- uncorrected energy (eV per atom) = -4.69


What did the sixth record say?
Here is a relaxed PmHoV4 crystal from Alexandria via LeMat-Bulk. Energies are from PBE-GGA.

```
data_PmHoV4
_cell_length_a 7.6321
_cell_length_b 7.6321
_cell_length_c 7.6321
_cell_angle_alpha 90.00
_cell_angle_beta 90.00
_cell_angle_gamma 90.00
_symmetry_space_group_name_H-M 'F -4 3 m'
_symmetry_Int_Tables_number 216
_symmetry_space_group_name_Hall 'F -4 2 3'
loop_
_atom_site_label
_atom_site_fract_x
_atom_site_fract_y
_atom_site_fract_z
_atom_site_occupancy
Pm1 0.0000 0.0000 0.0000 1
Ho1 0.2500 0.2500 0.7500 1
V1 0.1204 0.1204 0.3796 1
```

- uncorrected energy (eV per atom) = -7.25


Please write out number 4 again, unchanged.
Here is a relaxed PmHoTmZr crystal from Alexandria via LeMat-Bulk. Energies are from PBE-GGA.

```
data_PmHoTmZr
_cell_length_a 7.7637
_cell_length_b 7.7637
_cell_length_c 7.7637
_cell_angle_alpha 90.00
_cell_angle_beta 90.00
_cell_angle_gamma 90.00
_symmetry_space_group_name_H-M 'F -4 3 m'
_symmetry_Int_Tables_number 216
_symmetry_space_group_name_Hall 'F -4 2 3'
loop_
_atom_site_label
_atom_site_fract_x
_atom_site_fract_y
_atom_site_fract_z
_atom_site_occupancy
Pm1 0.0000 0.0000 0.0000 1
Ho1 0.2500 0.2500 0.2500 1
Tm1 0.2500 0.2500 0.7500 1
Zr1 0.0000 0.0000 0.5000 1
```

- uncorrected energy (eV per atom) = -5.37